(1)
# LiPu6Rh5 | the Alexandria database | PBE | relaxed
# - magnetization (μB/f.u.) = 31.06
# - mass density (Mg/m³) = 13.5
# - ΔE_f (meV per atom) = -336.0
data_LiPu6Rh5
_chemical_formula_sum 'Li2 Pu12 Rh10'
_cell_length_a 4.8142
_cell_length_b 6.9864
_cell_length_c 14.5680
_cell_angle_alpha 90.00
_cell_angle_beta 90.00
_cell_angle_gamma 90.00
_symmetry_space_group_name_H-M 'I m m m'
_symmetry_Int_Tables_number 71
_symmetry_space_group_name_Hall '-I 2 2'
loop_
_atom_site_label
_atom_site_fract_x
_atom_site_fract_y
_atom_site_fract_z
_atom_site_occupancy
Li1 0.0000 0.0000 0.0000 1
Pu1 0.0000 0.2338 0.5000 1
Pu2 0.0000 0.2596 0.1751 1
Rh1 0.0000 0.0000 0.3352 1
Rh2 0.0000 0.5000 0.0000 1
Rh3 0.0000 0.5000 0.3532 1


(2)
# BaCuAs | the Alexandria database | PBE | relaxed
# - magnetization (μB/f.u.) = 0.00
# - mass density (Mg/m³) = 5.6
# - ΔE_f (meV per atom) = -474.9
data_BaCuAs
_chemical_formula_sum 'Ba2 Cu2 As2'
_cell_length_a 4.6619
_cell_length_b 7.5961
_cell_length_c 4.5867
_cell_angle_alpha 90.00
_cell_angle_beta 90.00
_cell_angle_gamma 90.00
_symmetry_space_group_name_H-M 'P m c 21'
_symmetry_Int_Tables_number 26
loop_
_symmetry_equiv_pos_as_xyz
'x,y,z'
'-x,-y,z+1/2'
'-x,y,z'
'x,-y,z+1/2'
loop_
_atom_site_label
_atom_site_fract_x
_atom_site_fract_y
_atom_site_fract_z
_atom_site_occupancy
Ba1 0.0000 0.2425 0.0000 1
Cu1 0.5000 0.4196 0.5008 1
As1 0.5000 0.0897 0.4998 1